# ZrCo2F | Alexandria via LeMat-Bulk | GGA+U | optimized geometry
# E_tot: -5.2940 eV/atom
data_ZrCo2F
_cell_length_a 7.0816
_cell_length_b 7.0816
_cell_length_c 4.7065
_cell_angle_alpha 90.00
_cell_angle_beta 90.00
_cell_angle_gamma 90.00
_symmetry_space_group_name_H-M 'I -4 2 d'
_symmetry_Int_Tables_number 122
_symmetry_space_group_name_Hall 'I -4 2bw'
loop_
_atom_site_label
_atom_site_fract_x
_atom_site_fract_y
_atom_site_fract_z
_atom_site_occupancy
Zr1 0.0000 0.0000 0.0000 1
Co1 0.2008 0.2500 0.6250 1
F1 0.0000 0.0000 0.5000 1